*one*
Computed, not measured: an optimized crystal structure of Sm2CdHg2 at the PBE-GGA level of DFT.

It has space group P-3m1 (No. 164), with a = 5.2390 Å, b = 5.2390 Å, c = 6.3843 Å, α = 90.00°, β = 90.00° and γ = 120.00°. The inequivalent atoms are Sm at (0.3333, 0.6667, 0.1914), Cd at (0.0000, 0.0000, 0.0000) and Hg at (0.3333, 0.6667, 0.6838).

As for the size of the total moment: 0.000 μB/f.u.

=====

*two*
Computed, not measured: an optimized crystal structure of Sm2CdHg2 at the PBE-GGA level of DFT.

It has space group P4/mbm (No. 127), with a = 8.205 Å, b = 8.205 Å, c = 4.030 Å, α = 90.00°, β = 90.00° and γ = 90.00°. The inequivalent atoms are Sm at (0.169, 0.331, 0.000), Cd at (0.000, 0.000, 0.500) and Hg at (0.131, 0.631, 0.500).

As for the size of the total moment: 0.000 μB/f.u.

=====

The relative energies come out as *one* 170; *two* 0, with values in meV per atom.

=====

*one*
Computed, not measured: an optimized crystal structure of SmCd3Hg3 at the PBE-GGA level of DFT.

It has space group P6_3/m (No. 176), with a = 8.7996 Å, b = 8.7996 Å, c = 5.4348 Å, α = 90.00°, β = 90.00° and γ = 120.00°. The inequivalent atoms are Sm at (0.3333, 0.6667, 0.2500), Cd at (0.0928, 0.5442, 0.7500) and Hg at (0.1206, 0.2461, 0.2500).

As for the size of the total moment: 0.000 μB/f.u.

=====

*two*
Computed, not measured: an optimized crystal structure of SmCd3Hg3 at the PBE-GGA level of DFT.

It has space group Pm-3n (No. 223), with a = 7.733 Å, b = 7.733 Å, c = 7.733 Å, α = 90.00°, β = 90.00° and γ = 90.00°. The inequivalent atoms are Sm at (0.000, 0.000, 0.000), Cd at (0.000, 0.250, 0.500) and Hg at (0.000, 0.500, 0.250).

As for the size of the total moment: 0.000 μB/f.u.

=====

The relative energies come out as *one* 0; *two* 519, with values in meV per atom.

=====

*one*
Computed, not measured: an optimized crystal structure of SmCd2Hg5 at the PBE-GGA level of DFT.

It has space group I4/mcm (No. 140), with a = 7.905 Å, b = 7.905 Å, c = 12.950 Å, α = 90.00°, β = 90.00° and γ = 90.00°. The inequivalent atoms are Sm at (0.000, 0.000, 0.250), Cd at (0.146, 0.354, 0.000), Hg at (0.000, 0.000, 0.000) and Hg at (0.149, 0.351, 0.342).

As for the size of the total moment: 0.000 μB/f.u.

=====

*two*
Computed, not measured: an optimized crystal structure of SmCd2Hg5 at the PBE-GGA level of DFT.

It has space group Pbam (No. 55), with a = 10.055 Å, b = 10.787 Å, c = 7.314 Å, α = 90.00°, β = 90.00° and γ = 90.00°. The inequivalent atoms are Sm at (0.001, 0.241, 0.000), Cd at (0.000, 0.500, 0.265), Cd at (0.004, 0.246, 0.500), Hg at (0.000, 0.000, 0.258), Hg at (0.239, 0.439, 0.000), Hg at (0.245, 0.684, 0.256) and Hg at (0.247, 0.431, 0.500).

As for the size of the total moment: 0.000 μB/f.u.

=====

The relative energies come out as *one* 49; *two* 0, with values in meV per atom.

=====

*one*
Computed, not measured: an optimized crystal structure of Sm3CdHg at the PBE-GGA level of DFT.

It has space group Cmcm (No. 63), with a = 5.353 Å, b = 20.164 Å, c = 5.352 Å, α = 90.00°, β = 90.00° and γ = 90.00°. The inequivalent atoms are Sm at (0.000, 0.060, 0.250), Sm at (0.000, 0.250, 0.250), Sm at (0.000, 0.438, 0.250), Cd at (0.000, 0.153, 0.750) and Hg at (0.000, 0.346, 0.750).

As for the size of the total moment: 1.025 μB/f.u.

=====

*two*
Computed, not measured: an optimized crystal structure of Sm3CdHg at the PBE-GGA level of DFT.

It has space group R-3m (No. 166, hexagonal axes), with a = 6.9863 Å, b = 6.9863 Å, c = 23.8055 Å, α = 90.00°, β = 90.00° and γ = 120.00°. The inequivalent atoms are Sm at (0.0019, 0.5010, 0.3948), Cd at (0.0000, 0.0000, 0.3813) and Hg at (0.0000, 0.0000, 0.1661).

As for the size of the total moment: 0.000 μB/f.u.

=====

The relative energies come out as *one* 0; *two* 220, with values in meV per atom.